Compound: ScCrH4
Source: Alexandria
Functional: GGA-PBE
Structure: optimized geometry

Properties
Energy in eV/atom: -5.196
V in Å³/cell: 44
Size of the total moment in μB/atom: 0.3091

Cell and atoms, written as extended XYZ:
```
6
Lattice="3.113 0.000 0.000 0.000 3.113 0.000 0.000 0.000 4.496" Properties=species:S:1:pos:R:3 pbc="T T T"
Sc 0.000 0.000 0.000
Cr 1.556 1.556 2.248
H 0.000 1.556 1.289
H 0.000 1.556 3.207
H 1.556 0.000 1.289
H 1.556 0.000 3.207
```